# 1
Material: ZrZn2F8
Method: DFT, PBE
State: optimized geometry

Cell and atoms, written as extended XYZ:
```
11
Lattice="-4.181 0.455 -1.307 -1.208 -5.741 0.812 -2.107 -0.498 5.512" Properties=species:S:1:pos:R:3 pbc="T T T"
F -4.498 -2.184 1.576
F -1.639 -0.963 0.760
F -2.606 -0.853 3.564
F -2.999 -3.600 3.441
F -5.412 -1.888 4.181
F -5.857 -4.821 4.257
F -2.084 -3.896 0.836
F -4.890 -4.931 1.453
Zr 0.000 0.000 0.000
Zn -2.435 -2.250 2.044
Zn -5.061 -3.534 2.973
```

Polymorph energy (0 for the lowest one) ... 0 meV per atom
Final energy ... -57.73 eV/cell
ρ ... 4.2 Mg/m³

=====

# 2
Material: Pm3Hg
Method: DFT, PBE
State: optimized geometry

Cell and atoms, written as extended XYZ:
```
4
Lattice="-2.140 -4.325 -0.945 0.937 -1.469 4.598 -4.326 1.821 1.464" Properties=species:S:1:pos:R:3 pbc="T T T"
Pm -1.694 0.176 3.031
Pm -3.233 -1.252 0.259
Pm -0.601 -2.897 1.826
Hg 0.000 0.000 0.000
```

Polymorph energy (0 for the lowest one) ... 50 meV per atom
Final energy ... -15.24 eV/cell
ρ ... 8.9 Mg/m³
E_form ... -0.1712 eV/atom

=====

# 3
Material: Mn2CrS4
Method: DFT, PBE
State: optimized geometry

Cell and atoms, written as extended XYZ:
```
28
Lattice="-5.031 4.661 -2.116 1.628 -1.356 -6.858 -6.918 -7.536 -0.152" Properties=species:S:1:pos:R:3 pbc="T T T"
Cr 0.406 -0.338 -1.711
Cr -5.506 1.614 -1.626
Cr -6.444 -4.489 -0.642
Cr -2.238 -4.786 -5.223
S -7.326 -6.971 -3.961
S -3.181 -0.539 -6.302
S -4.964 -5.996 -1.838
S -3.182 -4.049 -7.334
S -3.890 0.270 -2.835
S -3.913 -3.383 -4.172
S -5.530 1.579 -7.292
S -3.964 -6.499 -5.323
S -3.063 2.796 -4.881
S -8.039 -6.322 -0.791
S -3.853 3.399 -1.720
S -6.341 -0.904 -5.238
S -7.255 -3.815 -2.826
S -5.570 -1.490 -8.407
S -6.186 2.455 -3.799
S -6.319 -4.376 -6.288
Mn -4.746 -2.461 -6.310
Mn -2.116 1.998 -2.740
Mn -5.609 -5.187 -4.062
Mn -4.713 0.956 -5.064
Mn -8.606 -4.115 -6.864
Mn -3.445 -2.000 -2.300
Mn -7.691 -1.553 -3.396
Mn -0.902 -0.794 -5.692
```

Polymorph energy (0 for the lowest one) ... 0 meV per atom
Final energy ... -194.73 eV/cell
ρ ... 3.7 Mg/m³

=====

# 4
Material: ZnCuW4
Method: DFT, PBE
State: optimized geometry

Cell and atoms, written as extended XYZ:
```
6
Lattice="0.000 3.721 3.721 3.721 0.000 3.721 3.721 3.721 0.000" Properties=species:S:1:pos:R:3 pbc="T T T"
W 4.651 2.791 4.651
W 4.651 4.651 2.791
W 2.791 2.791 2.791
W 2.791 4.651 4.651
Cu 0.000 0.000 0.000
Zn 5.582 5.582 5.582
```

Final energy ... -52.27 eV/cell
ρ ... 13.9 Mg/m³
E_form ... 0.8185 eV/atom

=====

# 5
Material: SiPbW2
Method: DFT, PBE
State: optimized geometry

Cell and atoms, written as extended XYZ:
```
8
Lattice="4.124 0.000 0.000 0.000 4.124 0.000 2.062 2.062 9.393" Properties=species:S:1:pos:R:3 pbc="T T T"
W 1.322 3.093 2.348
W 5.154 4.864 7.045
W 2.802 1.031 2.348
W 3.093 3.384 7.045
Pb 4.124 2.062 4.697
Pb 0.000 0.000 0.000
Si 2.062 2.062 0.000
Si 2.062 4.124 4.697
```

Polymorph energy (0 for the lowest one) ... 592 meV per atom
Final energy ... -62.56 eV/cell
ρ ... 12.5 Mg/m³

=====

# 6
Material: TaHg2As
Method: DFT, PBE
State: optimized geometry

Cell and atoms, written as extended XYZ:
```
4
Lattice="-0.044 -2.606 1.399 0.822 -0.683 -2.758 10.385 1.311 2.771" Properties=species:S:1:pos:R:3 pbc="T T T"
As 7.534 -0.742 1.227
Ta 5.287 0.668 1.411
Hg 0.090 0.011 0.024
Hg 3.444 -1.259 0.136
```

Final energy ... -16.59 eV/cell
ρ ... 11.9 Mg/m³
E_form ... 0.1300 eV/atom

=====

# 7
Material: Sc2AlRh
Method: DFT, PBE
State: optimized geometry

Cell and atoms, written as extended XYZ:
```
4
Lattice="5.724 -0.007 0.022 4.850 3.040 0.022 1.943 0.557 4.272" Properties=species:S:1:pos:R:3 pbc="T T T"
Rh 3.052 0.875 1.113
Al 6.585 1.889 1.999
Sc 10.272 2.947 0.193
Sc 9.439 2.708 3.211
```

Final energy ... -26.33 eV/cell
ρ ... 4.9 Mg/m³
E_form ... -0.6424 eV/atom

=====

# 8
Material: CaMgSi2
Method: DFT, PBE
State: optimized geometry

Cell and atoms, written as extended XYZ:
```
4
Lattice="8.072 -0.007 -0.004 7.177 3.695 -0.004 7.177 1.736 3.262" Properties=species:S:1:pos:R:3 pbc="T T T"
Mg 16.381 3.962 2.377
Ca 11.623 2.811 1.686
Si 6.110 1.478 0.886
Si 21.952 5.309 3.185
```

Final energy ... -14.71 eV/cell
ρ ... 2.1 Mg/m³

=====

# 9
Material: ZrCuTe2
Method: DFT, PBE
State: optimized geometry

Cell and atoms, written as extended XYZ:
```
4
Lattice="3.401 0.675 3.651 -0.176 4.131 2.873 -1.386 -0.348 4.828" Properties=species:S:1:pos:R:3 pbc="T T T"
Te 1.379 3.343 8.514
Te 0.460 1.114 2.838
Cu 0.000 0.000 0.000
Zr 0.919 2.229 5.676
```

Final energy ... -19.41 eV/cell
ρ ... 7.5 Mg/m³

=====

# 10
Material: Cs2BaLi2Cl7
Method: DFT, PBE
State: optimized geometry

Cell and atoms, written as extended XYZ:
```
12
Lattice="5.084 0.018 0.109 0.024 5.084 0.109 2.779 2.775 13.591" Properties=species:S:1:pos:R:3 pbc="T T T"
Cl 5.220 2.652 2.334
Cl 5.228 2.660 11.474
Cl 2.692 2.688 5.170
Cl 2.554 2.551 0.109
Cl 5.194 5.188 8.639
Cl 2.666 5.225 11.474
Cl 2.658 5.217 2.334
Li 2.642 2.639 2.766
Li 5.244 5.238 11.043
Ba 0.000 0.000 0.000
Cs 2.664 2.661 8.716
Cs 5.222 5.216 5.093
```

Final energy ... -42.30 eV/cell
ρ ... 3.2 Mg/m³

=====

# 11
Material: Li3In2
Method: DFT, PBE
State: optimized geometry

Cell and atoms, written as extended XYZ:
```
10
Lattice="-4.399 -3.435 -0.997 -2.921 -2.196 4.334 -7.028 4.028 1.012" Properties=species:S:1:pos:R:3 pbc="T T T"
Li -5.783 -2.115 0.589
Li -7.248 -3.217 2.751
Li -8.565 0.512 3.760
Li -9.298 -0.102 1.091
Li -5.050 -1.501 3.258
Li -7.100 1.614 1.598
In -11.658 -0.048 3.242
In -2.690 -1.555 1.107
In -9.864 -2.357 3.281
In -4.484 0.754 1.068
```

Polymorph energy (0 for the lowest one) ... 127 meV per atom
Final energy ... -24.15 eV/cell
ρ ... 4.0 Mg/m³
E_form ... -0.1714 eV/atom

=====

# 12
Material: Ca5Ta
Method: DFT, PBE
State: optimized geometry

Cell and atoms, written as extended XYZ:
```
6
Lattice="-6.218 -0.806 -0.926 4.087 -1.220 -4.689 0.448 -5.568 1.839" Properties=species:S:1:pos:R:3 pbc="T T T"
Ta 0.224 -2.784 0.919
Ca 2.826 -0.843 -3.242
Ca -0.658 -0.625 -1.733
Ca -2.559 -3.728 -1.261
Ca 0.876 -3.866 -2.515
Ca -4.300 -0.557 -0.640
```

Polymorph energy (0 for the lowest one) ... 82 meV per atom
Final energy ... -18.90 eV/cell
ρ ... 3.1 Mg/m³
E_form ... 0.4937 eV/atom